Entry 1:
! NaInB2F8 | Alexandria | PBE | relaxed; values from VASP
&SYSTEM
  ibrav = 0, nat = 12, ntyp = 4
/
ATOMIC_SPECIES
F 19.00 F.upf
In 114.82 In.upf
B 10.81 B.upf
Na 22.99 Na.upf
CELL_PARAMETERS angstrom
-1.269 5.010 -0.475
-0.194 -2.297 4.650
7.759 2.093 1.358
ATOMIC_POSITIONS crystal
F 0.667 0.333 0.086
F 0.888 0.617 0.317
F 0.383 0.271 0.317
F 0.271 0.888 0.683
F 0.729 0.112 0.317
F 0.112 0.383 0.683
F 0.333 0.667 0.914
F 0.617 0.729 0.683
In 0.000 0.000 0.000
B 0.333 0.667 0.739
B 0.667 0.333 0.261
Na 0.000 0.000 0.500
! space group	P-3



Entry 2:
! InBO2F | Alexandria | PBE | relaxed; values from VASP
&SYSTEM
  ibrav = 0, nat = 5, ntyp = 4
/
ATOMIC_SPECIES
O 16.00 O.upf
B 10.81 B.upf
In 114.82 In.upf
F 19.00 F.upf
CELL_PARAMETERS angstrom
3.479 0.000 0.000
0.000 3.479 0.000
0.000 0.000 3.762
ATOMIC_POSITIONS crystal
O 0.000 0.500 0.000
O 0.500 0.000 0.000
B 0.000 0.000 0.000
In 0.500 0.500 0.500
F 0.000 0.000 0.500
! space group	P4/mmm



Entry 3:
! InBPbF6 | Alexandria | PBE | relaxed; values from VASP
&SYSTEM
  ibrav = 0, nat = 9, ntyp = 4
/
ATOMIC_SPECIES
F 19.00 F.upf
In 114.82 In.upf
Pb 207.20 Pb.upf
B 10.81 B.upf
CELL_PARAMETERS angstrom
-3.236 0.830 -3.448
-1.210 -4.395 -1.176
-4.749 0.252 5.155
ATOMIC_POSITIONS crystal
F 0.565 0.126 0.277
F 0.344 0.583 0.187
F 0.118 0.321 0.378
F 0.258 0.825 0.708
F 0.769 0.247 0.722
F 0.824 0.766 0.929
In 0.089 0.089 0.962
Pb 0.726 0.733 0.604
B 0.307 0.310 0.234
! space group	P1



Entry 4:
! InB2PbF8 | Alexandria | PBE | relaxed; values from VASP
&SYSTEM
  ibrav = 0, nat = 12, ntyp = 4
/
ATOMIC_SPECIES
In 114.82 In.upf
F 19.00 F.upf
B 10.81 B.upf
Pb 207.20 Pb.upf
CELL_PARAMETERS angstrom
-1.565 -3.808 3.637
-2.369 -4.644 -1.733
5.518 -6.111 0.125
ATOMIC_POSITIONS crystal
In 0.500 0.500 0.500
F 0.413 0.413 0.183
F 0.008 0.587 0.817
F 0.992 0.413 0.183
F 0.587 0.008 0.817
F 0.811 0.811 0.568
F 0.587 0.587 0.817
F 0.413 0.992 0.183
F 0.189 0.189 0.432
B 0.251 0.251 0.247
B 0.749 0.749 0.753
Pb 0.000 0.000 0.000
! space group	R-3m



Entry 5:
! InSnBF6 | Alexandria | PBE | relaxed; values from VASP
&SYSTEM
  ibrav = 0, nat = 9, ntyp = 4
/
ATOMIC_SPECIES
F 19.00 F.upf
In 114.82 In.upf
Sn 118.71 Sn.upf
B 10.81 B.upf
CELL_PARAMETERS angstrom
6.214 0.026 -0.715
3.150 5.427 -1.422
-0.561 -0.948 5.472
ATOMIC_POSITIONS crystal
F 0.376 0.366 0.326
F 0.842 0.390 0.225
F 0.681 0.968 0.354
F 0.842 0.768 0.776
F 0.682 0.350 0.646
F 0.377 0.257 0.674
In 0.100 0.951 0.998
Sn 0.579 0.710 0.500
B 0.522 0.239 0.500
! space group	P1



Entry 6:
! SrInBF6 | Alexandria | PBE | relaxed; values from VASP
&SYSTEM
  ibrav = 0, nat = 9, ntyp = 4
/
ATOMIC_SPECIES
F 19.00 F.upf
B 10.81 B.upf
Sr 87.62 Sr.upf
In 114.82 In.upf
CELL_PARAMETERS angstrom
-1.207 -3.682 -4.277
0.103 -5.186 -0.128
-7.174 0.513 1.919
ATOMIC_POSITIONS crystal
F 0.838 0.787 0.856
F 0.534 0.276 0.566
F 0.577 0.405 0.289
F 0.172 0.048 0.661
F 0.111 0.581 0.386
F 0.509 0.010 0.309
B 0.432 0.318 0.383
Sr 0.727 0.631 0.585
In 0.099 0.944 0.965
! space group	P1



Number 1: energy -65.471 eV/cell. Number 2: energy -25.553 eV/cell. Number 3: energy -45.650 eV/cell. Number 4: energy -63.782 eV/cell. Number 5: energy -46.237 eV/cell. Number 6: energy -48.817 eV/cell.